1.
Density functional theory data (GGA-PBE) for K2MgCu2H6 after structural relaxation.

a b c (Å): 5.5302 5.5494 6.2583
angles (deg): 114.17 90.00 119.89
Last column: nearest neighbours and their distance in Å.
Positions (direct):
K 0.7186 0.4372 0.1613  9 H 2.81-2.95
K 0.2814 0.5628 0.8387  9 H 2.81-2.95
H 0.2610 0.5221 0.2950  1 Cu 1.64
H 0.2547 0.9978 0.2602  1 Cu 1.62
H 0.2569 0.0022 0.7398  1 Cu 1.62
H 0.7431 0.9978 0.2602  1 Cu 1.62
H 0.7390 0.4779 0.7050  1 Cu 1.64
H 0.7453 0.0022 0.7398  1 Cu 1.62
Cu 0.0813 0.1626 0.2597  3 H 1.62-1.64
Cu 0.9187 0.8374 0.7403  3 H 1.62-1.64
Mg 0.5000 0.0000 0.5000  6 H 2.02-2.04

## Properties
The value obtained for the final energy is -3.03 eV/atom. Its space group is C2/m (12).

---

2.
Density functional theory data (GGA-PBE) for KMnCu2H after structural relaxation.

a b c (Å): 4.0362 4.7091 4.0362
angles (deg): 90.00 90.00 90.00
Last column: nearest neighbours and their distance in Å.
Positions (direct):
Cu 0.5000 0.0000 0.0000  2 H 2.02
Cu 0.0000 0.0000 0.5000  2 H 2.02
H 0.0000 0.0000 0.0000  4 Cu 2.02
Mn 0.5000 0.5000 0.5000  4 K 2.85, 8 Cu 3.10
K 0.0000 0.5000 0.0000  2 H 2.35

## Properties
The value obtained for the final energy is -3.53 eV/atom. Its space group is P4/mmm (123).